{"formula": "Be2AsAu", "functional": "PBE-GGA", "state": "optimized geometry", "dos_ef_per_ev_cell": 0.8, "total_energy_ev_per_atom": -3.663, "formation_enthalpy_0k_ev_per_atom": 0.182, "space_group": "C2/m", "lattice": [[3.3127, -1.4165, 0.0000], [3.3127, 1.4165, 0.0000], [-1.7493, 0.0000, 6.1916]], "species": ["Be", "Be", "As", "Au"], "frac_coords": [[0.2309, 0.2309, 0.2682], [0.7691, 0.7691, 0.7318], [0.0000, 0.0000, 0.5000], [0.5000, 0.5000, 0.0000]]}